DFT (PBE) results for a relaxed Pu6ZrO12 crystal.

Calculated values
Total magnetic moment (μB/f.u.): 28.00
Electronic total energy (eV per atom): -11.240
Formation energy from raw total energies (eV/atom): -3.133

Cell and atoms, written as CIF:
```
data_Pu6ZrO12
_space_group_name_H-M_alt 'R -3'
_space_group_IT_number 148
_space_group_name_Hall '-R 3'
_cell_length_a 10.0683
_cell_length_b 10.0683
_cell_length_c 9.4811
_cell_angle_alpha 90.00
_cell_angle_beta 90.00
_cell_angle_gamma 120.00
loop_
_atom_site_label
_atom_site_type_symbol
_atom_site_fract_x
_atom_site_fract_y
_atom_site_fract_z
Pu1 Pu 0.0476 0.7918 0.1548
Zr1 Zr 0.0000 0.0000 0.5000
O1 O 0.0350 0.8116 0.9001
O2 O 0.0417 0.8384 0.3915
```